DFT (GGA-PBE) results for an optimized crystal structure of CrTcTeN2.

Results
crystal system: tetragonal
energy relative to the lowest polymorph listed for this composition: 348 meV per atom
SG: P4/mmm, No. 123
theoretical density: 6.35 Mg/m³
total moment: 3.21 μB per cell
energy relative to the elements, uncorrected: 1006 meV per atom

a = 3.786 Å, b = 3.786 Å, c = 5.570 Å
α = 90.00°, β = 90.00°, γ = 90.00°
Each line ends with the local moment (μB).
Fractional coordinates of all 5 atoms:
Cr 0.000 0.000 0.000  1.53
Te 0.000 0.000 0.500  -0.06
Tc 0.500 0.500 0.500  2.57
N 0.000 0.500 0.000  -0.48
N 0.500 0.000 0.000  -0.48

DFT (GGA-PBE) results for an optimized crystal structure of Th2CrTcN6.

Results
crystal system: tetragonal
SG: P4mm, No. 99
theoretical density: 9.73 Mg/m³
total moment: 0.00 μB per cell
energy relative to the elements, uncorrected: -785 meV per atom

a = 3.937 Å, b = 5.500 Å, c = 5.500 Å
α = 90.00°, β = 90.00°, γ = 90.00°
Fractional coordinates of all 10 atoms:
Th 0.095 0.500 0.000
Th 0.095 0.000 0.500
Cr 0.594 0.000 0.000
Tc 0.663 0.500 0.500
N 0.670 0.242 0.242
N 0.670 0.242 0.758
N 0.158 0.500 0.500
N 0.161 0.000 0.000
N 0.670 0.758 0.758
N 0.670 0.758 0.242

DFT (GGA-PBE) results for an optimized crystal structure of CrTcW2N.

Results
crystal system: tetragonal
SG: P4/mmm, No. 123
theoretical density: 13.51 Mg/m³
total moment: 0.60 μB per cell
energy relative to the elements, uncorrected: -37 meV per atom

a = 4.111 Å, b = 4.111 Å, c = 3.865 Å
α = 90.00°, β = 90.00°, γ = 90.00°
Each line ends with the local moment (μB).
Fractional coordinates of all 5 atoms:
Cr 0.000 0.000 0.500  0.73
Tc 0.500 0.500 0.500  -0.07
W 0.000 0.500 0.000  -0.03
W 0.500 0.000 0.000  -0.03
N 0.000 0.000 0.000  -0.01

DFT (GGA-PBE) results for an optimized crystal structure of Cr2TcWN.

Results
crystal system: tetragonal
SG: P4/mmm, No. 123
theoretical density: 10.93 Mg/m³
total moment: 0.00 μB per cell
energy relative to the elements, uncorrected: -107 meV per atom

a = 3.864 Å, b = 3.864 Å, c = 4.068 Å
α = 90.00°, β = 90.00°, γ = 90.00°
Fractional coordinates of all 5 atoms:
Cr 0.000 0.500 0.000
Cr 0.500 0.000 0.000
Tc 0.500 0.500 0.500
W 0.000 0.000 0.500
N 0.000 0.000 0.000

DFT (GGA-PBE) results for an optimized crystal structure of ZnCrTc2N.

Results
crystal system: tetragonal
energy relative to the lowest polymorph listed for this composition: 1143 meV per atom
SG: P4/mmm, No. 123
theoretical density: 7.28 Mg/m³
total moment: 0.00 μB per cell
energy relative to the elements, uncorrected: 1113 meV per atom

a = 4.598 Å, b = 3.532 Å, c = 4.598 Å
α = 90.00°, β = 90.00°, γ = 90.00°
Fractional coordinates of all 5 atoms:
Cr 0.000 0.000 0.000
Zn 0.500 0.500 0.500
Tc 0.000 0.000 0.500
Tc 0.500 0.000 0.000
N 0.000 0.500 0.000

DFT (GGA-PBE) results for an optimized crystal structure of ZnCrTc2N.

Results
crystal system: tetragonal
energy relative to the lowest polymorph listed for this composition: 0 meV per atom
SG: P4/mmm, No. 123
theoretical density: 8.69 Mg/m³
total moment: 0.00 μB per cell
energy relative to the elements, uncorrected: -31 meV per atom

a = 4.037 Å, b = 4.037 Å, c = 3.839 Å
α = 90.00°, β = 90.00°, γ = 90.00°
Fractional coordinates of all 5 atoms:
Cr 0.000 0.000 0.500
Zn 0.500 0.500 0.500
Tc 0.000 0.500 0.000
Tc 0.500 0.000 0.000
N 0.000 0.000 0.000

DFT (GGA-PBE) results for an optimized crystal structure of Zn2CrTcN4.

Results
crystal system: tetragonal
SG: I-42m, No. 121
theoretical density: 5.87 Mg/m³
total moment: 1.98 μB per cell
energy relative to the elements, uncorrected: -7 meV per atom

a = 4.568 Å, b = 4.568 Å, c = 5.596 Å
α = 114.09°, β = 114.09°, γ = 90.00°
Each line ends with the local moment (μB).
Fractional coordinates of all 8 atoms:
Zn 0.750 0.250 0.500  0.02
Zn 0.250 0.750 0.500  0.02
Cr 0.500 0.500 0.000  1.63
Tc 0.000 0.000 0.000  0.20
N 0.634 0.634 0.777  -0.01
N 0.366 0.858 0.223  -0.01
N 0.858 0.366 0.223  -0.01
N 0.142 0.142 0.777  -0.01

DFT (GGA-PBE) results for an optimized crystal structure of Zr2CrTcN.

Results
crystal system: tetragonal
SG: P4/mmm, No. 123
theoretical density: 7.50 Mg/m³
total moment: 0.68 μB per cell
energy relative to the elements, uncorrected: -628 meV per atom

a = 4.596 Å, b = 4.596 Å, c = 3.632 Å
α = 90.00°, β = 90.00°, γ = 90.00°
Each line ends with the local moment (μB).
Fractional coordinates of all 5 atoms:
Cr 0.000 0.000 0.500  0.59
Tc 0.500 0.500 0.500  0.19
Zr 0.000 0.500 0.000  -0.05
Zr 0.500 0.000 0.000  -0.05
N 0.000 0.000 0.000  -0.01

DFT (GGA-PBE) results for an optimized crystal structure of Cr3TeN.

Results
crystal system: cubic
SG: Pm-3m, No. 221
theoretical density: 3.44 Mg/m³
total moment: 12.80 μB per cell
energy relative to the elements, uncorrected: 2019 meV per atom

a = 5.236 Å, b = 5.236 Å, c = 5.236 Å
α = 90.00°, β = 90.00°, γ = 90.00°
Each line ends with the local moment (μB).
Fractional coordinates of all 5 atoms:
Cr 0.000 0.500 0.000  4.13
Cr 0.000 0.000 0.500  4.22
Cr 0.500 0.000 0.000  4.12
Te 0.000 0.000 0.000  -0.07
N 0.500 0.500 0.500  -1.23

DFT (GGA-PBE) results for an optimized crystal structure of CrTe3N.

Results
crystal system: cubic
energy relative to the lowest polymorph listed for this composition: 0 meV per atom
SG: Pm-3m, No. 221
theoretical density: 7.33 Mg/m³
total moment: 0.10 μB per cell
energy relative to the elements, uncorrected: 1180 meV per atom

a = 4.668 Å, b = 4.668 Å, c = 4.668 Å
α = 90.00°, β = 90.00°, γ = 90.00°
Fractional coordinates of all 5 atoms:
Cr 0.500 0.500 0.500
Te 0.000 0.500 0.000
Te 0.000 0.000 0.500
Te 0.500 0.000 0.000
N 0.000 0.000 0.000

DFT (GGA-PBE) results for an optimized crystal structure of Cr2TeN.

Results
crystal system: cubic
energy relative to the lowest polymorph listed for this composition: 965 meV per atom
SG: Fm-3m, No. 225
theoretical density: 7.56 Mg/m³
total moment: 3.20 μB per cell
energy relative to the elements, uncorrected: 922 meV per atom

a = 4.242 Å, b = 4.242 Å, c = 4.242 Å
α = 60.00°, β = 60.00°, γ = 60.00°
Each line ends with the local moment (μB).
Fractional coordinates of all 4 atoms:
Cr 0.250 0.250 0.250  1.79
Cr 0.750 0.750 0.750  1.79
Te 0.500 0.500 0.500  -0.14
N 0.000 0.000 0.000  -0.35

DFT (GGA-PBE) results for an optimized crystal structure of CrTeN2.

Results
crystal system: trigonal
SG: R-3m, No. 166
theoretical density: 5.62 Mg/m³
total moment: 3.25 μB per cell
energy relative to the elements, uncorrected: 915 meV per atom

a = 6.471 Å, b = 6.471 Å, c = 6.471 Å
α = 30.36°, β = 30.36°, γ = 30.36°
Each line ends with the local moment (μB).
Fractional coordinates of all 4 atoms:
Cr 0.000 0.000 0.000  3.13
Te 0.500 0.500 0.500  0.04
N 0.897 0.897 0.897  -0.14
N 0.103 0.103 0.103  -0.14

DFT (GGA-PBE) results for an optimized crystal structure of CrTeN.

Results
crystal system: orthorhombic
energy relative to the lowest polymorph listed for this composition: 146 meV per atom
SG: Immm, No. 71
theoretical density: 6.47 Mg/m³
total moment: 4.34 μB per cell
energy relative to the elements, uncorrected: 169 meV per atom

a = 3.018 Å, b = 5.754 Å, c = 6.581 Å
α = 115.93°, β = 103.26°, γ = 90.00°
Each line ends with the local moment (μB).
Fractional coordinates of all 6 atoms:
Cr 0.889 0.389 0.777  2.37
Cr 0.111 0.611 0.223  2.37
N 0.500 0.623 0.000  -0.15
N 0.500 0.377 0.000  -0.15
Te 0.182 0.182 0.365  -0.11
Te 0.818 0.818 0.635  -0.11

DFT (GGA-PBE) results for an optimized crystal structure of CrTe3N.

Results
crystal system: cubic
energy relative to the lowest polymorph listed for this composition: 326 meV per atom
SG: Pm-3m, No. 221
theoretical density: 6.13 Mg/m³
total moment: 0.00 μB per cell
energy relative to the elements, uncorrected: 1506 meV per atom

a = 4.953 Å, b = 4.953 Å, c = 4.953 Å
α = 90.00°, β = 90.00°, γ = 90.00°
Fractional coordinates of all 5 atoms:
Cr 0.000 0.000 0.000
Te 0.000 0.500 0.000
Te 0.000 0.000 0.500
Te 0.500 0.000 0.000
N 0.500 0.500 0.500

DFT (GGA-PBE) results for an optimized crystal structure of CrTeN.

Results
crystal system: tetragonal
energy relative to the lowest polymorph listed for this composition: 0 meV per atom
SG: P4/nmm, No. 129
theoretical density: 5.87 Mg/m³
total moment: 3.66 μB per cell
energy relative to the elements, uncorrected: 24 meV per atom

a = 3.329 Å, b = 3.329 Å, c = 9.878 Å
α = 90.00°, β = 90.00°, γ = 90.00°
Each line ends with the local moment (μB).
Fractional coordinates of all 6 atoms:
Cr 0.500 0.000 0.100  2.07
Cr 0.000 0.500 0.900  2.07
Te 0.500 0.000 0.697  -0.08
Te 0.000 0.500 0.303  -0.08
N 0.500 0.500 0.000  -0.21
N 0.000 0.000 0.000  -0.21

DFT (GGA-PBE) results for an optimized crystal structure of CrTeN2.

Results
crystal system: cubic
SG: Fd-3m, No. 227
theoretical density: 5.33 Mg/m³
total moment: 0.00 μB per cell
energy relative to the elements, uncorrected: 321 meV per atom

a = 5.675 Å, b = 5.675 Å, c = 5.677 Å
α = 60.01°, β = 60.01°, γ = 90.00°
Fractional coordinates of all 8 atoms:
Cr 0.500 0.500 0.000
Cr 0.250 0.750 0.500
Te 0.000 0.000 0.000
Te 0.750 0.250 0.500
N 0.375 0.125 0.250
N 0.375 0.625 0.250
N 0.375 0.625 0.750
N 0.875 0.625 0.750

DFT (GGA-PBE) results for an optimized crystal structure of CrTeN2.

Results
crystal system: trigonal
SG: R-3m, No. 166
theoretical density: 6.61 Mg/m³
total moment: 1.84 μB per cell
energy relative to the elements, uncorrected: 287 meV per atom

a = 6.591 Å, b = 6.591 Å, c = 6.591 Å
α = 27.03°, β = 27.03°, γ = 27.03°
Each line ends with the local moment (μB).
Fractional coordinates of all 4 atoms:
Cr 0.500 0.500 0.500  2.11
Te 0.000 0.000 0.000  0.03
N 0.885 0.885 0.885  -0.17
N 0.115 0.115 0.115  -0.17

DFT (GGA-PBE) results for an optimized crystal structure of Cr2TeN.

Results
crystal system: tetragonal
energy relative to the lowest polymorph listed for this composition: 0 meV per atom
SG: I-42d, No. 122
theoretical density: 6.06 Mg/m³
total moment: 9.67 μB per cell
energy relative to the elements, uncorrected: -43 meV per atom

a = 5.112 Å, b = 5.112 Å, c = 6.293 Å
α = 66.04°, β = 66.04°, γ = 90.00°
Each line ends with the local moment (μB).
Fractional coordinates of all 8 atoms:
Cr 0.501 0.125 0.250  2.42
Cr 0.249 0.625 0.250  2.42
Cr 0.375 0.499 0.750  2.34
Cr 0.875 0.751 0.750  2.36
Te 0.000 0.000 0.000  -0.11
Te 0.750 0.250 0.500  -0.11
N 0.500 0.500 0.000  -0.17
N 0.250 0.750 0.500  -0.17

DFT (GGA-PBE) results for an optimized crystal structure of Ti2CrTeN.

Results
crystal system: tetragonal
SG: P4/mmm, No. 123
theoretical density: 4.66 Mg/m³
total moment: 0.69 μB per cell
energy relative to the elements, uncorrected: 1736 meV per atom

a = 5.063 Å, b = 4.026 Å, c = 5.063 Å
α = 90.00°, β = 90.00°, γ = 90.00°
Each line ends with the local moment (μB).
Fractional coordinates of all 5 atoms:
Cr 0.500 0.500 0.500  0.01
N 0.000 0.500 0.000  0.10
Te 0.000 0.000 0.000  0.01
Ti 0.000 0.000 0.500  0.16
Ti 0.500 0.000 0.000  0.23

DFT (GGA-PBE) results for an optimized crystal structure of VCrTeN2.

Results
crystal system: tetragonal
energy relative to the lowest polymorph listed for this composition: 171 meV per atom
SG: P4/mmm, No. 123
theoretical density: 5.20 Mg/m³
total moment: 3.23 μB per cell
energy relative to the elements, uncorrected: 635 meV per atom

a = 3.770 Å, b = 5.808 Å, c = 3.770 Å
α = 90.00°, β = 90.00°, γ = 90.00°
Each line ends with the local moment (μB).
Fractional coordinates of all 5 atoms:
Cr 0.000 0.500 0.000  3.20
N 0.000 0.000 0.500  0.28
N 0.500 0.000 0.000  0.20
Te 0.500 0.500 0.500  -0.26
V 0.000 0.000 0.000  -0.48